No. 1
Here is an optimized crystal structure of PrEuAlHg from Alexandria. Energies are from GGA-PBE.

Values from the calculation:
The calculated volume comes out at 28.358 Å³ per atom. Its formation energy is -365 meV/atom.

abc: 5.4335 5.4335 5.4335
angles: 60.00 60.00 60.00
Fractional coordinates of all 4 atoms:
Eu (0.0000, 0.0000, 0.0000)
Pr (0.5000, 0.5000, 0.5000)
Hg (0.7500, 0.7500, 0.7500)
Al (0.2500, 0.2500, 0.2500)

***

No. 2
Here is an optimized crystal structure of Cu3As4 from Alexandria. Energies are from GGA-PBE.

Values from the calculation:
The calculated volume comes out at 18.725 Å³ per atom. Its formation energy is 176 meV/atom. The energy above the most stable polymorph in this dataset comes out at 0.000 eV per atom.

abc: 10.6459 10.6459 10.6459
angles: 159.68 141.18 44.21
Fractional coordinates of all 14 atoms:
Cu (0.7734, 0.5677, 0.2057)
Cu (0.2266, 0.4323, 0.7943)
Cu (0.6379, 0.4323, 0.2057)
Cu (0.3621, 0.5677, 0.7943)
Cu (0.6694, 0.6694, 0.0000)
Cu (0.3306, 0.3306, 0.0000)
As (0.9024, 0.1554, 0.7470)
As (0.0976, 0.8446, 0.2530)
As (0.5916, 0.8446, 0.7470)
As (0.4084, 0.1554, 0.2530)
As (0.8220, 0.0000, 0.8220)
As (0.1780, 0.0000, 0.1780)
As (0.7545, 0.2545, 0.5000)
As (0.2455, 0.7455, 0.5000)

***

No. 3
Here is an optimized crystal structure of Hf5GaFe from Alexandria. Energies are from GGA-PBE.

Values from the calculation:
The calculated volume comes out at 19.797 Å³ per atom. Its formation energy is -19 meV/atom.

abc: 5.2546 5.2546 10.4454
angles: 78.80 78.80 84.97
Fractional coordinates of all 14 atoms:
Hf (0.9156, 0.5671, 0.1255)
Hf (0.2189, 0.5179, 0.5651)
Hf (0.5671, 0.9156, 0.6255)
Hf (0.9939, 0.0061, 0.2500)
Hf (0.4821, 0.7811, 0.9349)
Hf (0.5179, 0.2189, 0.0651)
Hf (0.0061, 0.9939, 0.7500)
Hf (0.4329, 0.0844, 0.3745)
Hf (0.7811, 0.4821, 0.4349)
Hf (0.0844, 0.4329, 0.8745)
Ga (0.3859, 0.6141, 0.2500)
Ga (0.6141, 0.3859, 0.7500)
Fe (0.0000, 0.0000, 0.0000)
Fe (0.0000, 0.0000, 0.5000)

***

No. 4
Here is an optimized crystal structure of Ti2SbAu from Alexandria. Energies are from GGA-PBE.

Values from the calculation:
The calculated volume comes out at 21.314 Å³ per atom. The calculation puts the raw formation energy at -130 meV/atom.

abc: 4.0676 4.0676 6.3965
angles: 71.46 71.46 60.00
Fractional coordinates of all 4 atoms:
Ti (0.0877, 0.0877, 0.7369)
Ti (0.2473, 0.2473, 0.2581)
Sb (0.6672, 0.6672, 0.9982)
Au (0.4978, 0.4978, 0.5067)

***

No. 5
Here is an optimized crystal structure of Nd2BiTe from Alexandria. Energies are from GGA-PBE.

Values from the calculation:
The calculated volume comes out at 30.546 Å³ per atom. The calculation puts the raw formation energy at -1001 meV/atom. The energy above the most stable polymorph in this dataset comes out at 0.212 eV per atom.

abc: 3.8415 5.6397 5.6397
angles: 90.00 90.00 90.00
Fractional coordinates of all 4 atoms:
Te (0.5000, 0.5000, 0.5000)
Nd (0.0000, 0.0000, 0.5000)
Nd (0.0000, 0.5000, 0.0000)
Bi (0.5000, 0.0000, 0.0000)

***

No. 6
Here is an optimized crystal structure of Nb2VCuH from Alexandria. Energies are from GGA-PBE.

Values from the calculation:
The calculated volume comes out at 12.895 Å³ per atom. The energy above the most stable polymorph in this dataset comes out at 0.033 eV per atom.

abc: 4.2970 4.2970 3.4920
angles: 90.00 90.00 90.00
Fractional coordinates of all 5 atoms:
H (0.0000, 0.0000, 0.0000)
Nb (0.0000, 0.5000, 0.0000)
Nb (0.5000, 0.0000, 0.0000)
Cu (0.0000, 0.0000, 0.5000)
V (0.5000, 0.5000, 0.5000)

***

No. 7
Here is an optimized crystal structure of CsK2HoBr6 from Alexandria. Energies are from GGA-PBE.

Values from the calculation:
The calculated volume comes out at 42.861 Å³ per atom. The calculation puts the raw formation energy at -1827 meV/atom.

abc: 8.2511 8.2513 8.6940
angles: 61.67 61.65 59.96
Fractional coordinates of all 10 atoms:
Cs (0.8098, 0.8099, 0.5701)
K (0.5269, 0.5267, 0.4196)
K (0.0114, 0.0114, 0.9661)
Ho (0.3256, 0.3256, 0.0231)
Br (0.5526, 0.2366, 0.2313)
Br (0.2364, 0.9796, 0.2314)
Br (0.9793, 0.5530, 0.2311)
Br (0.3877, 0.6818, 0.7808)
Br (0.6821, 0.1493, 0.7809)
Br (0.1497, 0.3877, 0.7807)

***

No. 8
Here is an optimized crystal structure of Dy4AlZnHg2 from Alexandria. Energies are from GGA-PBE.

Values from the calculation:
The calculated volume comes out at 24.685 Å³ per atom. Its formation energy is -394 meV/atom.

abc: 5.1850 5.1850 8.9948
angles: 73.25 73.25 60.00
Fractional coordinates of all 8 atoms:
Dy (0.3760, 0.3760, 0.8720)
Dy (0.8741, 0.8741, 0.3778)
Dy (0.1259, 0.1259, 0.6222)
Dy (0.6240, 0.6240, 0.1280)
Al (0.0000, 0.0000, 0.0000)
Zn (0.5000, 0.5000, 0.5000)
Hg (0.7503, 0.7503, 0.7490)
Hg (0.2497, 0.2497, 0.2510)

***

No. 9
Here is an optimized crystal structure of Mg2Si4O11 from Alexandria. Energies are from GGA-PBE.

Values from the calculation:
The calculated volume comes out at 19.354 Å³ per atom. The calculation puts the raw formation energy at -2467 meV/atom.

abc: 11.4972 11.4972 5.4420
angles: 78.01 78.01 103.75
Fractional coordinates of all 34 atoms:
Mg (0.1385, 0.8615, 0.5000)
Mg (0.8615, 0.1385, 0.5000)
Mg (0.1029, 0.8971, 0.0000)
Mg (0.8971, 0.1029, 0.0000)
Si (0.3043, 0.1316, 0.5318)
Si (0.6957, 0.8684, 0.4682)
Si (0.8684, 0.6957, 0.4682)
Si (0.1316, 0.3043, 0.5318)
Si (0.3787, 0.0499, 0.0354)
Si (0.6213, 0.9501, 0.9646)
Si (0.9501, 0.6213, 0.9646)
Si (0.0499, 0.3787, 0.0354)
O (0.2525, 0.9323, 0.1457)
O (0.7475, 0.0677, 0.8543)
O (0.0677, 0.7475, 0.8543)
O (0.9323, 0.2525, 0.1457)
O (0.3880, 0.1352, 0.2442)
O (0.6120, 0.8648, 0.7558)
O (0.8648, 0.6120, 0.7558)
O (0.1352, 0.3880, 0.2442)
O (0.6145, 0.8635, 0.2526)
O (0.3855, 0.1365, 0.7474)
O (0.1365, 0.3855, 0.7474)
O (0.8635, 0.6145, 0.2526)
O (0.2530, 0.2530, 0.4986)
O (0.7470, 0.7470, 0.5014)
O (0.0438, 0.0438, 0.1240)
O (0.9562, 0.9562, 0.8760)
O (0.5000, 0.0000, 0.0000)
O (0.0000, 0.5000, 0.0000)
O (0.1926, 0.0013, 0.6393)
O (0.8074, 0.9987, 0.3607)
O (0.9987, 0.8074, 0.3607)
O (0.0013, 0.1926, 0.6393)

***

No. 10
Here is an optimized crystal structure of Cr2SbP from Alexandria. Energies are from GGA-PBE.

Values from the calculation:
The calculated volume comes out at 16.627 Å³ per atom. The calculation puts the raw formation energy at -34 meV/atom.

abc: 3.5450 3.5450 6.4486
angles: 74.04 74.04 59.94
Fractional coordinates of all 4 atoms:
Cr (0.0227, 0.0227, 0.9312)
Cr (0.4773, 0.4773, 0.5688)
P (0.7500, 0.7500, 0.7500)
Sb (0.2500, 0.2500, 0.2500)

***

No. 11
Here is an optimized crystal structure of CaScPt from Alexandria. Energies are from GGA-PBE.

Values from the calculation:
The calculated volume comes out at 24.242 Å³ per atom. Its formation energy is -741 meV/atom. The energy above the most stable polymorph in this dataset comes out at 0.146 eV per atom.

abc: 6.5062 6.5061 3.4745
angles: 74.51 74.51 30.97
Fractional coordinates of all 3 atoms:
Sc (0.7114, 0.7114, 0.2886)
Ca (0.9762, 0.9762, 0.0238)
Pt (0.3123, 0.3123, 0.6877)

***

No. 12
Here is an optimized crystal structure of NaHf2MgB from Alexandria. Energies are from GGA-PBE.

Values from the calculation:
The calculated volume comes out at 20.835 Å³ per atom. Its formation energy is 1811 meV/atom.

abc: 4.9440 4.2619 4.9440
angles: 90.00 90.00 90.00
Fractional coordinates of all 5 atoms:
Na (0.0000, 0.0000, 0.0000)
Mg (0.5000, 0.5000, 0.5000)
B (0.0000, 0.5000, 0.0000)
Hf (0.0000, 0.0000, 0.5000)
Hf (0.5000, 0.0000, 0.0000)

***

No. 13
Here is an optimized crystal structure of Nd7CdGa5 from Alexandria. Energies are from GGA-PBE.

Values from the calculation:
The calculated volume comes out at 27.083 Å³ per atom. Its formation energy is -359 meV/atom.

abc: 6.4701 8.0632 8.0632
angles: 77.32 66.35 66.35
Fractional coordinates of all 13 atoms:
Nd (0.6242, 0.3758, 0.3758)
Nd (0.2587, 0.7413, 0.7413)
Nd (0.0074, 0.3109, 0.6743)
Nd (0.0074, 0.6743, 0.3109)
Nd (0.2835, 0.2165, 0.2165)
Nd (0.5270, 0.7946, 0.1514)
Nd (0.5270, 0.1514, 0.7946)
Cd (0.9407, 0.0593, 0.0593)
Ga (0.5385, 0.9925, 0.4801)
Ga (0.9889, 0.9925, 0.4801)
Ga (0.5385, 0.4801, 0.9925)
Ga (0.9889, 0.4801, 0.9925)
Ga (0.7692, 0.7308, 0.7308)